First-principles (PBE-GGA) data for a relaxed BeCuSiPt crystal, as listed in the Open Quantum Materials Database.

The space group is F-43m (No. 216) and the conventional cell measures 5.854, 5.854 and 5.854 Å, with angles of 90.00, 90.00 and 90.00 degrees. The inequivalent atoms are Be at (0.000, 0.000, 0.000), Cu at (0.000, 0.000, 0.500), Si at (0.250, 0.250, 0.250) and Pt at (0.250, 0.250, 0.750).

As for the relative energy among the computed polymorphs: 274 meV per atom. For the total energy, the calculation gives -4.77 eV/atom.

First-principles (PBE-GGA) data for a relaxed LiNiSe2 crystal, as listed in the Open Quantum Materials Database.

The space group is I-42d (No. 122) and the conventional cell measures 5.750, 5.750 and 10.434 Å, with angles of 90.00, 90.00 and 90.00 degrees. The inequivalent atoms are Li at (0.000, 0.000, 0.000), Ni at (0.000, 0.000, 0.500) and Se at (0.205, 0.750, 0.625).

For the total energy, the calculation gives -4.06 eV/atom.